1.
The following is a DFT calculation (PBE) of a relaxed K2Cd2Au crystal.

Calculated values
energy of formation	-0.0358	eV per atom
total magnetization	0.00	μB per atom

Cell: 6.8044 6.8044 8.1658 Å, 90.00 90.00 90.00°
Last column: nearest neighbours and their distance in Å.
Sites, in units of the cell vectors:
K 0.0000 0.5000 0.2500  4 Cd 3.47
K 0.0000 0.5000 0.7500  4 Cd 3.47
K 0.5000 0.0000 0.2500  4 Cd 3.47
K 0.5000 0.0000 0.7500  4 Cd 3.47
Cd 0.0000 0.0000 0.1692  1 Au 2.70, 1 Cd 2.76
Cd 0.0000 0.0000 0.8308  1 Au 2.70, 1 Cd 2.76
Cd 0.5000 0.5000 0.3308  1 Au 2.70, 1 Cd 2.76
Cd 0.5000 0.5000 0.6692  1 Au 2.70, 1 Cd 2.76
Au 0.0000 0.0000 0.5000  2 Cd 2.70
Au 0.5000 0.5000 0.0000  2 Cd 2.70

2.
The following is a DFT calculation (PBE) of a relaxed ZrNiP2 crystal.

Calculated values
energy of formation	-0.5809	eV per atom
total magnetization	0.00	μB per atom

Cell: 3.4199 4.0479 5.1414 Å, 90.00 108.95 90.00°
Last column: nearest neighbours and their distance in Å.
Sites, in units of the cell vectors:
Zr 0.0000 0.0000 0.0000  7 P 2.70-2.76
Ni 0.6553 0.5000 0.3205  3 P 2.11-2.20
P 0.4360 0.5000 0.8680  1 Ni 2.20
P 0.7203 0.0000 0.4439  2 Ni 2.11

Question: Look up the total magnetization of the first one.
Answer: 0.00 μB per atom

What did the first record say?
The following is a DFT calculation (PBE) of a relaxed K2Cd2Au crystal.

Calculated values
energy of formation	-0.0358	eV per atom
total magnetization	0.00	μB per atom

Cell: 6.8044 6.8044 8.1658 Å, 90.00 90.00 90.00°
Last column: nearest neighbours and their distance in Å.
Sites, in units of the cell vectors:
K 0.0000 0.5000 0.2500  4 Cd 3.47
K 0.0000 0.5000 0.7500  4 Cd 3.47
K 0.5000 0.0000 0.2500  4 Cd 3.47
K 0.5000 0.0000 0.7500  4 Cd 3.47
Cd 0.0000 0.0000 0.1692  1 Au 2.70, 1 Cd 2.76
Cd 0.0000 0.0000 0.8308  1 Au 2.70, 1 Cd 2.76
Cd 0.5000 0.5000 0.3308  1 Au 2.70, 1 Cd 2.76
Cd 0.5000 0.5000 0.6692  1 Au 2.70, 1 Cd 2.76
Au 0.0000 0.0000 0.5000  2 Cd 2.70
Au 0.5000 0.5000 0.0000  2 Cd 2.70

Question: Among the records above, which one has the lowest energy of formation?
Answer: ZrNiP2

Question: Which formula does entry 1 have?
Answer: K2Cd2Au